VASP calculation (PBE) on a relaxed structure of NiOs.

POSCAR file:
```
NiOs
1.0
-1.9897 -0.2100 -3.1718
2.6897 -2.5187 0.6965
-3.3099 -2.9072 2.2688
Ni Os
2 2
Direct
0.3333 0.6667 0.2500
0.6667 0.3333 0.7500
0.0000 0.0000 0.5000
0.0000 0.0000 0.0000
```

The calculation puts the energy relative to the elements at 1.86 eV per formula unit. The value obtained for the spin magnetization is 0.00 Bohr magnetons per cell. The total energy is -0.27835 hartree per atom.

=====

VASP calculation (PBE) on a relaxed structure of PuSc5Hg6.

POSCAR file:
```
PuSc5Hg6
1.0
-2.3306 0.2764 -4.3902
6.4365 -0.1229 -3.4248
-2.3583 -7.5225 3.6008
Sc Hg Pu
5 6 1
Direct
0.0000 0.5000 0.0000
0.3283 0.3283 0.6566
0.6561 0.1561 0.3122
0.6717 0.6717 0.3434
0.3439 0.8439 0.6878
0.5000 0.7237 0.0000
0.8267 0.0930 0.6535
0.8267 0.5604 0.6535
0.5000 0.2763 0.0000
0.1733 0.4396 0.3465
0.1733 0.9070 0.3465
0.0000 0.0000 0.0000
```

The calculation puts the energy relative to the elements at -4.23 eV per formula unit. The value obtained for the spin magnetization is 6.71 Bohr magnetons per cell. The total energy is -0.15935 hartree per atom.